(1)
Sm2EuCu (PBE-GGA, optimized geometry); excess energy over the best structure of this formula in the dataset = 0 meV per atom; M_tot = 8.30 Bohr magnetons per cell; energy of formation = -2.8 kJ per mole of atoms
1.0
3.6262 0.0000 0.0000
0.0000 3.6262 0.0000
0.0000 0.0000 9.0433
Sm Eu Cu
2 1 1
Cartesian
0.0000 0.0000 1.6741
0.0000 0.0000 7.3692
1.8131 1.8131 4.5216
1.8131 1.8131 0.0000

(2)
Sm3EuCu (PBE-GGA, optimized geometry); M_tot = 7.23 Bohr magnetons per cell; energy of formation = 11.0 kJ per mole of atoms
1.0
5.5670 0.0000 0.0000
0.0000 5.5670 0.0000
0.0000 0.0000 5.5670
Sm Eu Cu
3 1 1
Cartesian
0.0000 0.0000 2.7835
0.0000 2.7835 0.0000
2.7835 0.0000 0.0000
2.7835 2.7835 2.7835
0.0000 0.0000 0.0000

(3)
Sm2EuCu (PBE-GGA, optimized geometry); excess energy over the best structure of this formula in the dataset = 105 meV per atom; M_tot = 7.29 Bohr magnetons per cell; energy of formation = 7.3 kJ per mole of atoms
1.0
1.8725 1.0811 10.2771
-1.8725 1.0811 10.2771
0.0000 -2.1622 10.2771
Sm Eu Cu
2 1 1
Cartesian
0.0000 0.0000 7.1058
0.0000 0.0000 23.7254
0.0000 0.0000 0.0000
0.0000 0.0000 15.4156

(4)
SmEuCu2 (PBE-GGA, optimized geometry); excess energy over the best structure of this formula in the dataset = 0 meV per atom; M_tot = 7.25 Bohr magnetons per cell; energy of formation = -13.1 kJ per mole of atoms
1.0
3.5954 0.0000 0.0000
0.0000 3.5954 0.0000
0.0000 0.0000 7.1921
Sm Eu Cu
1 1 2
Cartesian
0.0000 0.0000 0.0000
0.0000 0.0000 3.5960
1.7977 1.7977 1.5843
1.7977 1.7977 5.6078